# HoTm14Sc (PBE-GGA, optimized geometry)
# **Energy of formation**: 7 kJ/mol of atoms
data_HoTm14Sc
_cell_length_a 10.834
_cell_length_b 8.141
_cell_length_c 10.868
_cell_angle_alpha 90.00
_cell_angle_beta 90.00
_cell_angle_gamma 90.00
_symmetry_space_group_name_H-M 'A m m 2'
_symmetry_Int_Tables_number 38
loop_
_symmetry_equiv_pos_as_xyz
'x,y,z'
'-x,-y,z'
'-x,y,z'
'x,-y,z'
'x,y+1/2,z+1/2'
'-x,-y+1/2,z+1/2'
'-x,y+1/2,z+1/2'
'x,-y+1/2,z+1/2'
loop_
_atom_site_label
_atom_site_fract_x
_atom_site_fract_y
_atom_site_fract_z
_atom_site_occupancy
Ho1 0.000 0.000 0.000 1
Tm1 0.000 0.204 0.716 1
Tm2 0.229 0.000 0.214 1
Tm3 0.248 0.209 0.932 1
Tm4 0.270 0.000 0.650 1
Tm5 0.500 0.000 0.417 1
Tm6 0.500 0.000 0.864 1
Tm7 0.500 0.203 0.145 1
Sc1 0.000 0.000 0.445 1



# Sm2PBr3 (PBE-GGA, optimized geometry)
# **Energy relative to the elements, uncorrected**: -1656 meV/atom
data_Sm2PBr3
_cell_length_a 17.136
_cell_length_b 4.416
_cell_length_c 12.463
_cell_angle_alpha 90.00
_cell_angle_beta 122.42
_cell_angle_gamma 90.00
_symmetry_space_group_name_H-M 'C 1 2/m 1'
_symmetry_Int_Tables_number 12
loop_
_symmetry_equiv_pos_as_xyz
'x,y,z'
'-x,-y,-z'
'-x,y,-z'
'x,-y,z'
'x+1/2,y+1/2,z'
'-x+1/2,-y+1/2,-z'
'-x+1/2,y+1/2,-z'
'x+1/2,-y+1/2,z'
loop_
_atom_site_label
_atom_site_fract_x
_atom_site_fract_y
_atom_site_fract_z
_atom_site_occupancy
Sm1 0.103 0.000 0.452 1
Sm2 0.139 0.500 0.817 1
P1 0.088 0.000 0.663 1
Br1 0.056 0.500 0.258 1
Br2 0.159 0.000 0.012 1
Br3 0.235 0.500 0.607 1



# Nb2Ag2PtSe6 (PBE-GGA, optimized geometry)
# **Energy relative to the elements, uncorrected**: -364 meV/atom
data_Nb2Ag2PtSe6
_cell_length_a 6.023
_cell_length_b 11.320
_cell_length_c 7.501
_cell_angle_alpha 90.00
_cell_angle_beta 104.61
_cell_angle_gamma 90.00
_symmetry_space_group_name_H-M 'C 1 2/m 1'
_symmetry_Int_Tables_number 12
loop_
_symmetry_equiv_pos_as_xyz
'x,y,z'
'-x,-y,-z'
'-x,y,-z'
'x,-y,z'
'x+1/2,y+1/2,z'
'-x+1/2,-y+1/2,-z'
'-x+1/2,y+1/2,-z'
'x+1/2,-y+1/2,z'
loop_
_atom_site_label
_atom_site_fract_x
_atom_site_fract_y
_atom_site_fract_z
_atom_site_occupancy
Nb1 0.000 0.130 0.000 1
Ag1 0.000 0.308 0.500 1
Pt1 0.000 0.500 0.000 1
Se1 0.225 0.319 0.205 1
Se2 0.234 0.500 0.753 1



# SrMoBrN2 (PBE-GGA, optimized geometry)
# **Energy relative to the elements, uncorrected**: 2360 meV/atom
data_SrMoBrN2
_cell_length_a 4.564
_cell_length_b 4.564
_cell_length_c 5.366
_cell_angle_alpha 90.00
_cell_angle_beta 90.00
_cell_angle_gamma 90.00
_symmetry_space_group_name_H-M 'P 4/m m m'
_symmetry_Int_Tables_number 123
_symmetry_space_group_name_Hall '-P 4 2'
loop_
_atom_site_label
_atom_site_fract_x
_atom_site_fract_y
_atom_site_fract_z
_atom_site_occupancy
Sr1 0.000 0.000 0.000 1
Mo1 0.500 0.500 0.000 1
Br1 0.000 0.000 0.500 1
N1 0.000 0.500 0.500 1



# SrIrF2 (PBE-GGA, optimized geometry)
# **Energy above the lowest structure with this stoichiometry**: 207 meV per atom
# **Energy relative to the elements, uncorrected**: -1376 meV/atom
data_SrIrF2
_cell_length_a 3.4630
_cell_length_b 3.4630
_cell_length_c 24.2098
_cell_angle_alpha 90.00
_cell_angle_beta 90.00
_cell_angle_gamma 120.00
_symmetry_space_group_name_H-M 'R -3 m'
_symmetry_Int_Tables_number 166
_symmetry_space_group_name_Hall '-R 3 2"'
loop_
_atom_site_label
_atom_site_fract_x
_atom_site_fract_y
_atom_site_fract_z
_atom_site_occupancy
Sr1 0.0000 0.0000 0.0000 1
Ir1 0.0000 0.0000 0.5000 1
F1 0.0000 0.0000 0.2832 1



# LiBeV (PBE-GGA, optimized geometry)
# **Energy above the lowest structure with this stoichiometry**: 23 meV per atom
# **Energy of formation**: 16 kJ/mol of atoms
data_LiBeV
_cell_length_a 13.734
_cell_length_b 2.497
_cell_length_c 4.307
_cell_angle_alpha 90.00
_cell_angle_beta 96.47
_cell_angle_gamma 90.00
_symmetry_space_group_name_H-M 'C 1 2/m 1'
_symmetry_Int_Tables_number 12
loop_
_symmetry_equiv_pos_as_xyz
'x,y,z'
'-x,-y,-z'
'-x,y,-z'
'x,-y,z'
'x+1/2,y+1/2,z'
'-x+1/2,-y+1/2,-z'
'-x+1/2,y+1/2,-z'
'x+1/2,-y+1/2,z'
loop_
_atom_site_label
_atom_site_fract_x
_atom_site_fract_y
_atom_site_fract_z
_atom_site_occupancy
Li1 0.223 0.000 0.238 1
Be1 0.070 0.500 0.186 1
V1 0.071 0.000 0.697 1



Volume across the listed records, respectively: 959, 796, 495, 112, 251, 147 Å³ per cell.